[1]
## CsNa2LiCu (PBE)

Data for a relaxed structure of CsNa2LiCu.

N(E_F)	0.6195	states/eV/atom
energy of formation	0.228	eV per atom

```
CsNa2LiCu
1.0
5.864 0.000 0.000
0.000 5.864 0.000
0.000 0.000 5.369
Cs Na Cu Li
1 2 1 1
direct
0.500 0.500 0.500 Cs
0.000 0.500 0.000 Na
0.500 0.000 0.000 Na
0.000 0.000 0.000 Cu
0.000 0.000 0.500 Li
```

[2]
## CsLiCuO2 (PBE)

Data for a relaxed structure of CsLiCuO2.

N(E_F)	0.9938	states/eV/atom
E_form (uncorrected)	-1.112	eV/atom

```
CsLiCuO2
1.0
-0.650 0.255 5.144
5.189 -0.544 0.683
-1.931 6.330 -0.558
Cs Li Cu O
2 2 2 4
direct
0.259 0.750 0.500 Cs
0.741 0.250 0.500 Cs
0.500 0.750 0.000 Li
0.500 0.250 0.000 Li
0.000 0.000 0.000 Cu
0.000 0.500 0.000 Cu
0.717 0.916 0.832 O
0.717 0.584 0.168 O
0.283 0.416 0.832 O
0.283 0.084 0.168 O
```

[3]
## CsLiCuS2 (PBE)

Data for a relaxed structure of CsLiCuS2.

N(E_F)	0.4632	states/eV/atom
E_form (uncorrected)	-0.323	eV/atom

```
CsLiCuS2
1.0
4.830 0.000 0.000
0.000 4.935 0.000
0.000 0.000 4.830
Cs S Cu Li
1 2 1 1
direct
0.500 0.500 0.500 Cs
0.000 0.000 0.500 S
0.500 0.000 0.000 S
0.000 0.000 0.000 Cu
0.000 0.500 0.000 Li
```

[4]
## Cs2LiCuSe2 (PBE)

Data for a relaxed structure of Cs2LiCuSe2.

E_form (uncorrected)	-0.871	eV/atom

```
Cs2LiCuSe2
1.0
6.461 0.000 0.000
0.000 6.494 0.000
-3.230 -3.247 8.370
Cs Li Cu Se
4 2 2 4
direct
0.416 0.164 0.329 Cs
0.584 0.836 0.671 Cs
0.087 0.336 0.671 Cs
0.913 0.664 0.329 Cs
0.000 0.750 0.000 Li
0.000 0.250 0.000 Li
0.500 0.750 0.000 Cu
0.500 0.250 0.000 Cu
0.817 0.078 0.156 Se
0.338 0.578 0.156 Se
0.662 0.422 0.844 Se
0.183 0.922 0.844 Se
```

[5]
## CsLiCuTe2 (PBE)

Data for a relaxed structure of CsLiCuTe2.

N(E_F)	0.7546	states/eV/atom
E_form (uncorrected)	-0.665	eV/atom

```
CsLiCuTe2
1.0
-3.699 2.333 -0.165
-2.330 -3.648 0.644
3.388 1.803 7.602
Cs Li Cu Te
1 1 1 2
direct
0.000 0.000 0.000 Cs
0.750 0.250 0.500 Li
0.250 0.750 0.500 Cu
0.652 0.652 0.304 Te
0.348 0.348 0.696 Te
```

[6]
## CsLiTl2Cu (PBE)

Data for a relaxed structure of CsLiTl2Cu.

N(E_F)	0.4998	states/eV/atom
energy of formation	0.101	eV per atom

```
CsLiTl2Cu
1.0
5.382 0.000 0.000
0.000 5.382 0.000
0.000 0.000 5.572
Cs Tl Cu Li
1 2 1 1
direct
0.500 0.500 0.500 Cs
0.000 0.500 0.000 Tl
0.500 0.000 0.000 Tl
0.000 0.000 0.000 Cu
0.000 0.000 0.500 Li
```

[7]
## Cs3MgCu (PBE)

Data for a relaxed structure of Cs3MgCu.

energy above the most stable polymorph in this dataset	0	meV/atom
N(E_F)	1.5167	states/eV/atom
energy of formation	0.378	eV per atom

```
Cs3MgCu
1.0
6.911 0.000 0.000
0.000 6.911 0.000
0.000 0.000 6.911
Cs Mg Cu
3 1 1
direct
0.000 0.500 0.000 Cs
0.000 0.000 0.500 Cs
0.500 0.000 0.000 Cs
0.500 0.500 0.500 Mg
0.000 0.000 0.000 Cu
```

[8]
## CsMg14Cu (PBE)

Data for a relaxed structure of CsMg14Cu.

energy above the most stable polymorph in this dataset	0	meV/atom
N(E_F)	0.2979	states/eV/atom
energy of formation	0.174	eV per atom

```
CsMg14Cu
1.0
3.196 -5.692 0.000
3.196 5.692 0.000
0.000 0.000 10.828
Cs Mg Cu
1 14 1
direct
0.283 0.717 0.500 Cs
0.842 0.158 0.000 Mg
0.344 0.656 0.000 Mg
0.306 0.217 0.500 Mg
0.352 0.172 0.000 Mg
0.783 0.694 0.500 Mg
0.828 0.648 0.000 Mg
0.172 0.318 0.242 Mg
0.172 0.318 0.758 Mg
0.682 0.828 0.242 Mg
0.682 0.828 0.758 Mg
0.681 0.319 0.278 Mg
0.681 0.319 0.722 Mg
0.168 0.832 0.218 Mg
0.168 0.832 0.782 Mg
0.857 0.143 0.500 Cu
```

[9]
## CsMg2Cu (PBE)

Data for a relaxed structure of CsMg2Cu.

energy above the most stable polymorph in this dataset	262	meV/atom
N(E_F)	0.3781	states/eV/atom
energy of formation	0.582	eV per atom

```
CsMg2Cu
1.0
-4.033 -3.088 2.280
-4.107 2.450 2.851
-5.150 0.149 -2.110
Cs Mg Cu
1 2 1
direct
0.500 0.500 0.500 Cs
0.250 0.250 0.250 Mg
0.750 0.750 0.750 Mg
0.000 0.000 0.000 Cu
```

[10]
## CsMg2Cu (PBE)

Data for a relaxed structure of CsMg2Cu.

energy above the most stable polymorph in this dataset	0	meV/atom
N(E_F)	0.0683	states/eV/atom
energy of formation	0.320	eV per atom

```
CsMg2Cu
1.0
-4.539 0.884 4.831
-2.597 -6.016 -1.339
1.089 -5.677 6.690
Cs Mg Cu
2 4 2
direct
0.000 0.000 0.000 Cs
0.750 0.250 0.500 Cs
0.375 0.125 0.250 Mg
0.375 0.625 0.250 Mg
0.375 0.625 0.750 Mg
0.875 0.625 0.750 Mg
0.500 0.500 0.000 Cu
0.250 0.750 0.500 Cu
```

[11]
## Cs2MgCu (PBE)

Data for a relaxed structure of Cs2MgCu.

energy above the most stable polymorph in this dataset	161	meV/atom
N(E_F)	0.7906	states/eV/atom
energy of formation	0.443	eV per atom

```
Cs2MgCu
1.0
5.420 -1.383 3.330
2.722 4.522 3.811
-0.230 -0.633 6.475
Cs Mg Cu
2 1 1
direct
0.250 0.250 0.250 Cs
0.750 0.750 0.750 Cs
0.000 0.000 0.000 Mg
0.500 0.500 0.500 Cu
```

[12]
## Cs2MgCu (PBE)

Data for a relaxed structure of Cs2MgCu.

energy above the most stable polymorph in this dataset	0	meV/atom
N(E_F)	0.7262	states/eV/atom
energy of formation	0.282	eV per atom

```
Cs2MgCu
1.0
-6.731 6.731 2.638
6.731 -6.731 2.638
6.731 6.731 -2.638
Cs Mg Cu
4 2 2
direct
0.625 0.943 0.818 Cs
0.125 0.807 0.182 Cs
0.057 0.875 0.682 Cs
0.193 0.375 0.318 Cs
0.500 0.500 0.000 Mg
0.750 0.250 0.500 Mg
0.000 0.000 0.000 Cu
0.250 0.750 0.500 Cu
```

[13]
## CsMg14Cu (PBE)

Data for a relaxed structure of CsMg14Cu.

energy above the most stable polymorph in this dataset	13	meV/atom
N(E_F)	0.3214	states/eV/atom
energy of formation	0.188	eV per atom

```
CsMg14Cu
1.0
-5.455 0.219 3.495
3.136 -5.622 -0.765
5.761 2.008 8.866
Cs Mg Cu
1 14 1
direct
0.000 0.000 0.500 Cs
0.988 0.494 0.000 Mg
0.009 0.505 0.500 Mg
0.506 0.012 0.000 Mg
0.495 0.991 0.500 Mg
0.506 0.494 0.000 Mg
0.495 0.505 0.500 Mg
0.165 0.835 0.220 Mg
0.165 0.835 0.780 Mg
0.165 0.331 0.220 Mg
0.165 0.331 0.780 Mg
0.669 0.835 0.220 Mg
0.669 0.835 0.780 Mg
0.667 0.333 0.260 Mg
0.667 0.333 0.740 Mg
0.000 0.000 0.000 Cu
```

[14]
## Cs2MgCuN (PBE)

Data for a relaxed structure of Cs2MgCuN.

N(E_F)	0.0000	states/eV/atom
E_form (uncorrected)	0.292	eV/atom

```
Cs2MgCuN
1.0
6.623 0.000 0.000
0.000 3.902 0.000
0.000 0.000 6.623
Cs Mg Cu N
2 1 1 1
direct
0.000 0.000 0.500 Cs
0.500 0.000 0.000 Cs
0.000 0.500 0.000 Mg
0.500 0.500 0.500 Cu
0.000 0.000 0.000 N
```

[15]
## Cs2MgCuP2 (PBE)

Data for a relaxed structure of Cs2MgCuP2.

N(E_F)	0.6715	states/eV/atom
energy of formation	-0.343	eV per atom

```
Cs2MgCuP2
1.0
-4.390 4.174 -0.219
-3.380 -3.346 3.987
8.599 4.992 6.648
Cs Mg Cu P
4 2 2 4
direct
0.389 0.138 0.276 Cs
0.611 0.862 0.724 Cs
0.113 0.362 0.724 Cs
0.887 0.638 0.276 Cs
0.000 0.750 0.000 Mg
0.000 0.250 0.000 Mg
0.500 0.750 0.000 Cu
0.500 0.250 0.000 Cu
0.782 0.056 0.113 P
0.331 0.556 0.113 P
0.669 0.444 0.887 P
0.218 0.944 0.887 P
```

[16]
## CsMgCuP2 (PBE)

Data for a relaxed structure of CsMgCuP2.

energy above the most stable polymorph in this dataset	0	meV/atom
N(E_F)	0.3293	states/eV/atom
energy of formation	0.316	eV per atom

```
CsMgCuP2
1.0
-2.818 -3.805 -0.927
1.692 -0.098 -4.739
3.565 -2.965 1.334
Cs P Mg Cu
1 2 1 1
direct
0.500 0.500 0.500 Cs
0.000 0.000 0.500 P
0.500 0.000 0.000 P
0.000 0.500 0.000 Mg
0.000 0.000 0.000 Cu
```

[17]
## CsMgCuP2 (PBE)

Data for a relaxed structure of CsMgCuP2.

energy above the most stable polymorph in this dataset	1354	meV/atom
N(E_F)	0.7077	states/eV/atom
energy of formation	1.670	eV per atom

```
CsMgCuP2
1.0
-1.192 4.331 3.273
-4.644 0.262 -2.038
-1.907 -3.471 3.899
Cs P Mg Cu
1 2 1 1
direct
0.000 0.000 0.000 Cs
0.000 0.000 0.500 P
0.500 0.000 0.000 P
0.500 0.500 0.500 Mg
0.000 0.500 0.000 Cu
```

[18]
## CsMgCuS2 (PBE)

Data for a relaxed structure of CsMgCuS2.

N(E_F)	0.4998	states/eV/atom
E_form (uncorrected)	-0.149	eV/atom

```
CsMgCuS2
1.0
-3.363 -2.045 3.109
-2.057 -2.650 -3.968
3.147 -3.799 0.906
Cs S Mg Cu
1 2 1 1
direct
0.500 0.500 0.500 Cs
0.000 0.000 0.500 S
0.500 0.000 0.000 S
0.000 0.000 0.000 Mg
0.000 0.500 0.000 Cu
```

[19]
## Cs2MgCuSb2 (PBE)

Data for a relaxed structure of Cs2MgCuSb2.

N(E_F)	0.7386	states/eV/atom
E_form (uncorrected)	-0.323	eV/atom

```
Cs2MgCuSb2
1.0
6.832 0.000 0.000
0.000 6.936 0.000
-3.416 -3.468 8.983
Cs Mg Cu Sb
4 2 2 4
direct
0.416 0.170 0.340 Cs
0.584 0.830 0.660 Cs
0.076 0.330 0.660 Cs
0.924 0.670 0.340 Cs
0.000 0.750 0.000 Mg
0.000 0.250 0.000 Mg
0.500 0.750 0.000 Cu
0.500 0.250 0.000 Cu
0.806 0.079 0.159 Sb
0.353 0.579 0.159 Sb
0.647 0.421 0.841 Sb
0.194 0.921 0.841 Sb
```

[20]
## CsMgCuSi2 (PBE)

Data for a relaxed structure of CsMgCuSi2.

N(E_F)	0.2270	states/eV/atom
E_form (uncorrected)	0.749	eV/atom

```
CsMgCuSi2
1.0
4.759 0.000 0.000
0.000 5.802 0.000
0.000 0.000 4.759
Cs Si Mg Cu
1 2 1 1
direct
0.000 0.500 0.000 Cs
0.000 0.000 0.500 Si
0.500 0.000 0.000 Si
0.500 0.500 0.500 Mg
0.000 0.000 0.000 Cu
```

[21]
## Cs2MgVCu (PBE)

Data for a relaxed structure of Cs2MgVCu.

N(E_F)	1.5777	states/eV/atom
energy of formation	1.136	eV per atom

```
Cs2MgVCu
1.0
7.174 0.000 0.000
0.000 5.488 0.000
0.000 0.000 7.174
Cs Mg Cu V
2 1 1 1
direct
0.000 0.000 0.500 Cs
0.500 0.000 0.000 Cs
0.000 0.000 0.000 Mg
0.500 0.500 0.500 Cu
0.000 0.500 0.000 V
```

[22]
## CsMgZr2Cu (PBE)

Data for a relaxed structure of CsMgZr2Cu.

N(E_F)	2.4166	states/eV/atom
energy of formation	1.884	eV per atom

```
CsMgZr2Cu
1.0
5.312 0.000 0.000
0.000 5.048 0.000
0.000 0.000 5.312
Cs Mg Cu Zr
1 1 1 2
direct
0.000 0.000 0.000 Cs
0.500 0.500 0.500 Mg
0.000 0.500 0.000 Cu
0.000 0.000 0.500 Zr
0.500 0.000 0.000 Zr
```

[23]
## CsMnCu3 (PBE)

Data for a relaxed structure of CsMnCu3.

energy above the most stable polymorph in this dataset	1249	meV/atom
N(E_F)	0.5597	states/eV/atom
energy of formation	2.031	eV per atom

```
CsMnCu3
1.0
5.357 0.000 0.000
0.000 5.357 0.000
0.000 0.000 5.357
Cs Mn Cu
1 1 3
direct
0.000 0.000 0.000 Cs
0.500 0.500 0.500 Mn
0.000 0.500 0.000 Cu
0.000 0.000 0.500 Cu
0.500 0.000 0.000 Cu
```

[24]
## CsMnCu3 (PBE)

Data for a relaxed structure of CsMnCu3.

energy above the most stable polymorph in this dataset	0	meV/atom
N(E_F)	0.4924	states/eV/atom
energy of formation	0.783	eV per atom

```
CsMnCu3
1.0
-4.017 -2.874 0.679
2.240 -2.219 3.862
-1.924 3.417 3.079
Cs Mn Cu
1 1 3
direct
0.500 0.500 0.500 Cs
0.000 0.000 0.000 Mn
0.000 0.500 0.000 Cu
0.000 0.000 0.500 Cu
0.500 0.000 0.000 Cu
```

[25]
## Cs2MnCu2S4 (PBE)

Data for a relaxed structure of Cs2MnCu2S4.

N(E_F)	0.4015	states/eV/atom
E_form (uncorrected)	-0.627	eV/atom

```
Cs2MnCu2S4
1.0
3.813 0.000 0.000
-1.907 7.069 0.026
0.000 -2.434 7.559
Cs Mn Cu S
2 1 2 4
direct
0.863 0.725 0.437 Cs
0.137 0.275 0.563 Cs
0.000 0.000 0.000 Mn
0.316 0.633 0.016 Cu
0.684 0.367 0.984 Cu
0.818 0.635 0.850 S
0.182 0.365 0.150 S
0.480 0.960 0.190 S
0.520 0.040 0.810 S
```